Arrangement one

Compound: LuAuSeO
Source: the Open Quantum Materials Database
Functional: PBE-GGA
Structure: optimized geometry

Unit cell a=5.626 b=5.619 c=10.937 alpha=90.00 beta=92.10 gamma=90.00
Fractional coordinates of all 16 atoms:
Lu: 0.005 0.819 0.090
Lu: 0.493 0.821 0.909
Lu: 0.507 0.321 0.091
Lu: 0.995 0.319 0.910
Se: 0.305 0.039 0.282
Se: 0.688 0.647 0.275
Se: 0.312 0.147 0.725
Se: 0.695 0.539 0.718
Au: 0.317 0.095 0.503
Au: 0.997 0.342 0.269
Au: 0.683 0.595 0.497
Au: 0.003 0.842 0.731
O: 0.748 0.069 0.000
O: 0.252 0.569 0.000
O: 0.250 0.069 0.002
O: 0.750 0.569 0.998

Results
Space-group type ... P2_1

---

Arrangement two

Compound: LuAuSeO
Source: the Open Quantum Materials Database
Functional: PBE-GGA
Structure: optimized geometry

Unit cell a=5.426 b=9.584 c=5.528 alpha=90.00 beta=90.00 gamma=90.00
Fractional coordinates of all 16 atoms:
O: 0.250 0.000 0.999
O: 0.250 0.000 0.499
O: 0.750 0.000 0.501
O: 0.750 0.000 0.001
Se: 0.000 0.275 0.250
Se: 0.500 0.275 0.750
Se: 0.000 0.725 0.750
Se: 0.500 0.725 0.250
Lu: 0.500 0.110 0.250
Lu: 0.000 0.890 0.250
Lu: 0.000 0.110 0.750
Lu: 0.500 0.890 0.750
Au: 0.750 0.500 0.667
Au: 0.250 0.500 0.833
Au: 0.250 0.500 0.333
Au: 0.750 0.500 0.167

Results
Space-group type ... Pcca

---

Most stable one: arrangement one, least stable one: arrangement two.